No. 1
8
Lattice="2.9609 -5.5096 0.0000 2.9609 5.5096 0.0000 0.0000 0.0000 4.7580" Properties=species:S:1:pos:R:3 comment="Mg6NbNi (PBE, optimized geometry)" density_g_cm3=3.182 polymorph_energy_mev_per_atom=0.0 formation_energy_ev_per_atom=0.126 pbc="T T T"
Nb 2.9609 2.1198 2.3790
Mg 1.5433 0.8940 0.0000
Mg 4.4730 -0.8284 2.3790
Mg 2.9609 -3.6520 2.3790
Mg 1.4488 -0.8284 2.3790
Mg 2.9609 -1.9449 0.0000
Mg 4.3784 0.8940 0.0000
Ni 2.9609 3.3458 0.0000

=====

No. 2
10
Lattice="-2.7144 3.5464 3.3156 -4.5008 0.4198 -4.1337 -6.5227 -6.5909 1.7097" Properties=species:S:1:pos:R:3 comment="Tb2YHoMg (PBE, optimized geometry)" density_g_cm3=6.546 formation_energy_ev_per_atom=0.012 pbc="T T T"
Tb -4.7025 -3.0793 1.7765
Tb -10.6211 -2.2936 0.7563
Tb -3.1168 -0.3311 0.1353
Tb -9.0354 0.4545 -0.8849
Y -6.1352 -1.4227 -1.1683
Y -7.6027 -1.2020 2.0599
Mg -7.8037 -4.2150 0.4525
Mg -5.9342 1.5903 0.4391
Ho -4.4289 1.2255 -2.6038
Ho -9.3090 -3.8502 3.4955

=====

No. 3
10
Lattice="4.0594 0.0000 0.0000 0.0000 8.1428 0.3040 0.0000 -3.0859 7.1960" Properties=species:S:1:pos:R:3 comment="Dy2CdHgRh (PBE, optimized geometry)" density_g_cm3=10.182 formation_energy_ev_per_atom=-0.566 pbc="T T T"
Hg 1.0148 4.8043 2.5159
Hg 3.0445 0.2526 4.9841
Dy 1.0148 -0.1761 2.4895
Dy 3.0445 5.2329 5.0105
Dy 1.0148 -0.7094 7.1535
Dy 3.0445 5.7663 0.3464
Rh 3.0445 0.5783 0.7098
Rh 1.0148 4.4785 6.7901
Cd 3.0445 2.5677 2.6053
Cd 1.0148 2.4892 4.8946

=====

No. 4
4
Lattice="-2.0098 -2.0885 2.1086 2.6370 -2.4251 0.1114 2.9221 3.4629 6.2152" Properties=species:S:1:pos:R:3 comment="LaPa2Ru (PBE, optimized geometry)" density_g_cm3=11.798 polymorph_energy_mev_per_atom=0.0 formation_energy_ev_per_atom=-0.077 pbc="T T T"
Pa 0.5541 0.6567 1.1786
Pa 2.3679 2.8062 5.0366
Ru 0.3136 -2.2568 1.1100
La 1.7746 -0.5254 4.2176